[1]
A plane-wave DFT calculation with PBE-GGA was carried out for a relaxed La3YTm3 crystal.

abc: 6.2104 6.2104 15.0891
angles: 78.12 78.12 60.00
Last column: nearest neighbours and their distance in Å.
Fractional coordinates of all 14 atoms:
La: 0.2013 0.8703 0.3875  3 Tm 3.55-3.57, 9 La 3.55-3.90
La: 0.5409 0.2013 0.3875  3 Tm 3.55-3.57, 9 La 3.55-3.90
La: 0.8703 0.5409 0.3875  3 Tm 3.55-3.57, 9 La 3.55-3.90
La: 0.1297 0.4591 0.6125  3 Tm 3.55-3.57, 9 La 3.55-3.90
La: 0.4591 0.7987 0.6125  3 Tm 3.55-3.57, 9 La 3.55-3.90
La: 0.7987 0.1297 0.6125  3 Tm 3.55-3.57, 9 La 3.55-3.90
Y: 0.6667 0.6667 0.9999  6 Tm 3.47-3.48, 3 Y 3.59
Y: 0.3333 0.3333 0.0001  6 Tm 3.47-3.48, 3 Y 3.59
Tm: 0.9365 0.2695 0.1904  2 Y 3.47-3.48, 3 La 3.55-3.57, 6 Tm 3.58-3.59
Tm: 0.6036 0.9365 0.1904  2 Y 3.47-3.48, 3 La 3.55-3.57, 6 Tm 3.58-3.59
Tm: 0.2695 0.6036 0.1904  2 Y 3.47-3.48, 3 La 3.55-3.57, 6 Tm 3.58-3.59
Tm: 0.7305 0.3964 0.8096  2 Y 3.47-3.48, 3 La 3.55-3.57, 6 Tm 3.58-3.59
Tm: 0.3964 0.0635 0.8096  2 Y 3.47-3.48, 3 La 3.55-3.57, 6 Tm 3.58-3.59
Tm: 0.0635 0.7305 0.8096  2 Y 3.47-3.48, 3 La 3.55-3.57, 6 Tm 3.58-3.59

Calculated volume, Å³ per atom: 34.97
VASP energy, eV per atom: -4.765
Space-group type: R-3
Total magnetic moment, μB per atom: 0.08
Excess energy over the best structure of this formula in the dataset, kJ/mol of formula units: 106
E_form, eV per formula unit: 1.31

[2]
A plane-wave DFT calculation with PBE-GGA was carried out for a relaxed Li9Cd4In11 crystal.

abc: 4.3366 11.4157 11.4157
angles: 110.72 90.00 90.00
Last column: nearest neighbours and their distance in Å.
Fractional coordinates of all 24 atoms:
Li: 0.5000 0.6269 0.1305  1 Cd 2.92, 8 In 3.02-3.24, 2 Li 3.12-3.15
Li: 0.5000 0.3731 0.8695  1 Cd 2.92, 8 In 3.02-3.24, 2 Li 3.12-3.15
Li: 0.5000 0.1305 0.6269  1 Cd 2.92, 8 In 3.02-3.24, 2 Li 3.12-3.15
Li: 0.5000 0.8695 0.3731  1 Cd 2.92, 8 In 3.02-3.24, 2 Li 3.12-3.15
Li: 0.5000 0.8016 0.9734  3 Li 2.92-3.23, 1 Cd 3.01, 8 In 3.07-3.20
Li: 0.5000 0.1984 0.0266  3 Li 2.92-3.23, 1 Cd 3.01, 8 In 3.07-3.20
Li: 0.5000 0.9734 0.8016  3 Li 2.92-3.23, 1 Cd 3.01, 8 In 3.07-3.20
Li: 0.5000 0.0266 0.1984  3 Li 2.92-3.23, 1 Cd 3.01, 8 In 3.07-3.20
Li: 0.5000 0.5000 0.5000  4 Cd 2.69
Cd: 0.5000 0.5615 0.7503  3 Li 2.69-3.01, 2 In 2.97
Cd: 0.5000 0.4385 0.2497  3 Li 2.69-3.01, 2 In 2.97
Cd: 0.5000 0.7503 0.5615  3 Li 2.69-3.01, 2 In 2.97
Cd: 0.5000 0.2497 0.4385  3 Li 2.69-3.01, 2 In 2.97
In: 0.0000 0.5954 0.9377  2 Cd 2.97, 3 In 2.99-3.22, 6 Li 3.02-3.22
In: 0.0000 0.4046 0.0623  2 Cd 2.97, 3 In 2.99-3.22, 6 Li 3.02-3.22
In: 0.0000 0.9377 0.5954  2 Cd 2.97, 3 In 2.99-3.22, 6 Li 3.02-3.22
In: 0.0000 0.0623 0.4046  2 Cd 2.97, 3 In 2.99-3.22, 6 Li 3.02-3.22
In: 0.0000 0.6512 0.3488  4 Cd 3.15, 4 Li 3.24, 3 In 3.33-3.48
In: 0.0000 0.3488 0.6512  4 Cd 3.15, 4 Li 3.24, 3 In 3.33-3.48
In: 0.0000 0.8284 0.1716  4 In 3.03-3.33, 8 Li 3.07
In: 0.0000 0.1716 0.8284  4 In 3.03-3.33, 8 Li 3.07
In: 0.0000 0.0000 0.0000  8 Li 3.07, 4 In 3.17-3.22
In: 0.0000 0.7560 0.7560  4 Cd 3.09, 3 In 3.17-3.22, 4 Li 3.20
In: 0.0000 0.2440 0.2440  4 Cd 3.09, 3 In 3.17-3.22, 4 Li 3.20

Calculated volume, Å³ per atom: 22.02
VASP energy, eV per atom: -2.282
Space-group type: Cmmm
Total magnetic moment, μB per atom: 0.00
E_form, eV per formula unit: -3.77

[3]
A plane-wave DFT calculation with PBE-GGA was carried out for a relaxed CuHg3W crystal.

abc: 4.9569 4.9569 4.9569
angles: 90.00 90.00 90.00
Last column: nearest neighbours and their distance in Å.
Fractional coordinates of all 5 atoms:
Cu: 0.0000 0.0000 0.0000  6 Hg 2.48
Hg: 0.0000 0.5000 0.0000  2 Cu 2.48
Hg: 0.0000 0.0000 0.5000  2 Cu 2.48
Hg: 0.5000 0.0000 0.0000  2 Cu 2.48
W: 0.5000 0.5000 0.5000  12 Hg 3.51

Calculated volume, Å³ per atom: 24.36
VASP energy, eV per atom: -2.249
Space-group type: Pm-3m
Total magnetic moment, μB per atom: 0.86
Excess energy over the best structure of this formula in the dataset, kJ/mol of formula units: 0
E_form, eV per formula unit: 6.71

[4]
A plane-wave DFT calculation with PBE-GGA was carried out for a relaxed KErCu2I6 crystal.

abc: 7.7693 9.9627 9.9627
angles: 90.47 84.94 84.94
Last column: nearest neighbours and their distance in Å.
Fractional coordinates of all 20 atoms:
K: 0.2500 0.9170 0.0830  6 I 3.47-3.52
K: 0.7500 0.0830 0.9170  6 I 3.47-3.52
Er: 0.2500 0.2767 0.7233  6 I 2.98-3.07
Er: 0.7500 0.7233 0.2767  6 I 2.98-3.07
Cu: 0.2034 0.7530 0.5911  4 I 2.60-2.78
Cu: 0.2966 0.4089 0.2470  4 I 2.60-2.78
Cu: 0.7966 0.2470 0.4089  4 I 2.60-2.78
Cu: 0.7034 0.5911 0.7530  4 I 2.60-2.78
I: 0.1536 0.9858 0.7509  1 Cu 2.78, 1 Er 3.06
I: 0.3464 0.2491 0.0142  1 Cu 2.78, 1 Er 3.06
I: 0.8464 0.0142 0.2491  1 Cu 2.78, 1 Er 3.06
I: 0.6536 0.7509 0.9858  1 Cu 2.78, 1 Er 3.06
I: 0.4016 0.8402 0.3926  1 Cu 2.60
I: 0.0984 0.6074 0.1598  1 Cu 2.60
I: 0.5984 0.1598 0.6074  1 Cu 2.60
I: 0.9016 0.3926 0.8402  1 Cu 2.60
I: 0.8791 0.7125 0.5596  2 Cu 2.63
I: 0.6209 0.4404 0.2875  2 Cu 2.63
I: 0.1209 0.2875 0.4404  2 Cu 2.63
I: 0.3791 0.5596 0.7125  2 Cu 2.63

Calculated volume, Å³ per atom: 38.25
VASP energy, eV per atom: -3.167
Space-group type: C2/c
Total magnetic moment, μB per atom: 0.00
E_form (uncorrected), kcal/mol of atoms: -19.6

[5]
A plane-wave DFT calculation with PBE-GGA was carried out for a relaxed KAgAs2Br crystal.

abc: 4.9831 4.9831 6.5088
angles: 90.00 90.00 90.00
Last column: nearest neighbours and their distance in Å.
Fractional coordinates of all 5 atoms:
K: 0.5000 0.5000 0.5000  4 Br 3.52
As: 0.0000 0.5000 0.0000  2 Ag 2.49
As: 0.5000 0.0000 0.0000  2 Ag 2.49
Br: 0.0000 0.0000 0.5000  2 Ag 3.25, 4 K 3.52
Ag: 0.0000 0.0000 0.0000  4 As 2.49

Calculated volume, Å³ per atom: 32.32
VASP energy, eV per atom: -2.923
Space-group type: P4/mmm
Total magnetic moment, μB per atom: 0.41
E_form (uncorrected), kcal/mol of atoms: 1.4
Excess energy over the best structure of this formula in the dataset, kJ/mol of formula units: 0